(1)
! FeHgPb2C | the Alexandria database | GGA-PBEsol | optimized geometry; values from VASP
&SYSTEM
  ibrav = 0, nat = 5, ntyp = 4
/
ATOMIC_SPECIES
Fe 55.84 Fe.upf
Pb 207.20 Pb.upf
Hg 200.59 Hg.upf
C 12.01 C.upf
ATOMIC_POSITIONS crystal
Fe 0.0000 0.0000 0.0000
Pb 0.5000 0.0000 0.0000
Hg 0.0000 0.0000 0.5000
Pb 0.0000 0.5000 0.0000
C 0.5000 0.5000 0.5000
CELL_PARAMETERS angstrom
-2.7445 -3.5758 2.0448
3.7018 -1.0634 3.1089
-1.8022 3.2452 3.2560
! VASP energy ... -0.143 Ha/atom
! E_form ... 7.72 eV per formula unit

(2)
! KInSi2 | the Alexandria database | GGA-PBEsol | optimized geometry; values from VASP
&SYSTEM
  ibrav = 0, nat = 4, ntyp = 3
/
ATOMIC_SPECIES
Si 28.09 Si.upf
In 114.82 In.upf
K 39.10 K.upf
ATOMIC_POSITIONS crystal
Si 0.0000 0.0000 0.5000
In 0.5000 0.0000 0.0000
Si 0.0000 0.5000 0.0000
K 0.5000 0.5000 0.5000
CELL_PARAMETERS angstrom
-2.4490 0.8815 1.0333
0.5768 -3.6891 4.5143
2.2434 5.3605 0.7439
! Energy relative to the elements, uncorrected ... 1.976 eV/f.u.
! VASP energy ... -0.125 Ha/atom

(3)
! La2Au | the Alexandria database | GGA-PBEsol | optimized geometry; values from VASP
&SYSTEM
  ibrav = 0, nat = 6, ntyp = 2
/
ATOMIC_SPECIES
Au 196.97 Au.upf
La 138.91 La.upf
ATOMIC_POSITIONS crystal
Au 0.7500 0.7500 0.7500
La 0.1250 0.1250 0.1250
La 0.1250 0.6250 0.1250
La 0.6250 0.1250 0.1250
Au 0.5000 0.5000 0.5000
La 0.1250 0.1250 0.6250
CELL_PARAMETERS angstrom
-3.8573 4.7855 -0.1527
-2.0843 2.0978 -5.3906
-5.8871 -0.8452 -1.5590
! VASP energy ... -0.170 Ha/atom
! E_form ... 0.72 eV per formula unit

(4)
! YAl4Ni | the Alexandria database | GGA-PBEsol | optimized geometry; values from VASP
&SYSTEM
  ibrav = 0, nat = 12, ntyp = 3
/
ATOMIC_SPECIES
Y 88.91 Y.upf
Al 26.98 Al.upf
Ni 58.69 Ni.upf
ATOMIC_POSITIONS crystal
Y 0.3824 0.7500 0.7648
Al 0.4239 0.2500 0.8478
Al 0.1889 0.5523 0.3779
Al 0.5761 0.7500 0.1522
Ni 0.2739 0.2500 0.5477
Y 0.6176 0.2500 0.2352
Al 0.8111 0.0523 0.6221
Al 0.0000 0.0000 0.0000
Al 0.0000 0.5000 0.0000
Al 0.1889 0.9477 0.3779
Al 0.8111 0.4477 0.6221
Ni 0.7261 0.7500 0.4523
CELL_PARAMETERS angstrom
-2.4208 3.2219 0.2014
-2.0555 -1.9141 5.9145
6.8406 2.4156 3.1591
! VASP energy ... -0.201 Ha/atom
! E_form ... -3.41 eV per formula unit

(5)
! CaMoSe2 | the Alexandria database | GGA-PBEsol | optimized geometry; values from VASP
&SYSTEM
  ibrav = 0, nat = 4, ntyp = 3
/
ATOMIC_SPECIES
Se 78.96 Se.upf
Ca 40.08 Ca.upf
Mo 95.94 Mo.upf
ATOMIC_POSITIONS crystal
Se 0.9057 0.9057 0.2828
Ca 0.5000 0.5000 0.5000
Se 0.0943 0.0943 0.7172
Mo 0.0000 0.0000 0.0000
CELL_PARAMETERS angstrom
-0.5693 3.2175 1.8721
-3.4973 1.3197 0.4558
-2.0456 -2.8088 7.9927
! Energy relative to the elements, uncorrected ... -0.126 eV/f.u.
! VASP energy ... -0.200 Ha/atom
! Energy above the lowest structure with this stoichiometry ... 2.851 eV per formula unit

(6)
! MgAgMo2 | the Alexandria database | GGA-PBEsol | optimized geometry; values from VASP
&SYSTEM
  ibrav = 0, nat = 4, ntyp = 3
/
ATOMIC_SPECIES
Mo 95.94 Mo.upf
Mg 24.30 Mg.upf
Ag 107.87 Ag.upf
ATOMIC_POSITIONS crystal
Mo 0.2490 0.2490 0.2530
Mg 0.0000 0.0000 0.0000
Ag 0.5000 0.5000 0.5000
Mo 0.7510 0.7510 0.7470
CELL_PARAMETERS angstrom
-2.1814 0.6819 1.5622
-2.5643 -0.5432 -0.8906
-1.2263 -8.7226 4.5482
! VASP energy ... -0.244 Ha/atom
! E_form ... 2.02 eV per formula unit

(7)
! CaFeAs2 | the Alexandria database | GGA-PBEsol | optimized geometry; values from VASP
&SYSTEM
  ibrav = 0, nat = 4, ntyp = 3
/
ATOMIC_SPECIES
Ca 40.08 Ca.upf
As 74.92 As.upf
Fe 55.84 Fe.upf
ATOMIC_POSITIONS crystal
Ca 0.5000 0.4633 0.0000
As 0.0000 0.2971 0.5000
As 0.0000 0.9537 0.0000
Fe 0.0000 0.7859 0.5000
CELL_PARAMETERS angstrom
-0.0705 -2.1112 -3.4386
4.3550 0.9626 -0.6803
1.1715 -3.7083 2.2528
! VASP energy ... -0.207 Ha/atom
! E_form ... -1.22 eV per formula unit
! Energy above the lowest structure with this stoichiometry ... 0.849 eV per formula unit

(8)
! BP | the Alexandria database | GGA-PBEsol | optimized geometry; values from VASP
&SYSTEM
  ibrav = 0, nat = 2, ntyp = 2
/
ATOMIC_SPECIES
B 10.81 B.upf
P 30.97 P.upf
ATOMIC_POSITIONS crystal
B 0.0000 0.0000 0.0000
P 0.7500 0.7500 0.7500
CELL_PARAMETERS angstrom
-0.9960 0.1678 3.0333
1.0182 -2.1480 2.1379
2.0346 0.8787 2.3042
! VASP energy ... -0.251 Ha/atom
! E_form ... -0.87 eV per formula unit

(9)
! NdSi2Ru3 | the Alexandria database | GGA-PBEsol | optimized geometry; values from VASP
&SYSTEM
  ibrav = 0, nat = 6, ntyp = 3
/
ATOMIC_SPECIES
Ru 101.07 Ru.upf
Si 28.09 Si.upf
Nd 144.24 Nd.upf
ATOMIC_POSITIONS crystal
Ru 0.5000 0.5000 0.5000
Si 0.0000 0.3333 0.6667
Ru 0.5000 0.5000 0.0000
Nd 0.0000 0.0000 0.0000
Si 0.0000 0.6667 0.3333
Ru 0.5000 0.0000 0.5000
CELL_PARAMETERS angstrom
3.6252 0.0000 0.0000
0.0000 5.5383 0.0000
0.0000 -2.7692 4.7963
! Energy relative to the elements, uncorrected ... -3.864 eV/f.u.
! VASP energy ... -0.313 Ha/atom

(10)
! Tl2InSe | the Alexandria database | GGA-PBEsol | optimized geometry; values from VASP
&SYSTEM
  ibrav = 0, nat = 4, ntyp = 3
/
ATOMIC_SPECIES
Tl 204.38 Tl.upf
Se 78.96 Se.upf
In 114.82 In.upf
ATOMIC_POSITIONS crystal
Tl 0.0000 0.0000 0.9813
Tl 0.5000 0.5000 0.2695
Se 0.5000 0.5000 0.7156
In 0.0000 0.0000 0.5336
CELL_PARAMETERS angstrom
3.7744 0.0000 0.0000
0.0000 3.7744 0.0000
0.0000 0.0000 7.3783
! Energy relative to the elements, uncorrected ... -0.761 eV/f.u.
! VASP energy ... -0.118 Ha/atom
! Energy above the lowest structure with this stoichiometry ... 0.060 eV per formula unit

(11)
! CdInRh | the Alexandria database | GGA-PBEsol | optimized geometry; values from VASP
&SYSTEM
  ibrav = 0, nat = 3, ntyp = 3
/
ATOMIC_SPECIES
Cd 112.41 Cd.upf
In 114.82 In.upf
Rh 102.91 Rh.upf
ATOMIC_POSITIONS crystal
Cd 0.0000 0.0000 0.0253
In 0.3333 0.6667 0.6368
Rh 0.6667 0.3333 0.3379
CELL_PARAMETERS angstrom
-2.9708 0.7098 0.2091
1.0508 -2.5793 1.2715
1.2102 3.3547 5.8052
! VASP energy ... -0.151 Ha/atom
! E_form ... 0.01 eV per formula unit

(12)
! Cs2CdHg2 | the Alexandria database | GGA-PBEsol | optimized geometry; values from VASP
&SYSTEM
  ibrav = 0, nat = 10, ntyp = 3
/
ATOMIC_SPECIES
Cd 112.41 Cd.upf
Cs 132.91 Cs.upf
Hg 200.59 Hg.upf
ATOMIC_POSITIONS crystal
Cd 0.0000 0.5000 0.5000
Cs 0.5000 0.6772 0.8228
Cd 0.0000 0.0000 0.0000
Hg 0.0000 0.3670 0.8670
Hg 0.0000 0.1330 0.3670
Cs 0.5000 0.1772 0.6772
Hg 0.0000 0.6330 0.1330
Cs 0.5000 0.8228 0.3228
Cs 0.5000 0.3228 0.1772
Hg 0.0000 0.8670 0.6330
CELL_PARAMETERS angstrom
-2.6791 -3.3422 3.7470
6.2303 -5.1876 -0.1726
3.5169 4.0208 6.1010
! VASP energy ... -0.035 Ha/atom
! E_form ... -0.54 eV per formula unit
! Energy above the lowest structure with this stoichiometry ... 0.000 eV per formula unit